CaPrSmRu | GGA-PBE | relaxed

Geometry as POSCAR:
```
CaPrSmRu
1.0
0.0000 3.7374 3.7374
3.7374 0.0000 3.7374
3.7374 3.7374 0.0000
Ca Pr Sm Ru
1 1 1 1
Direct
0.0000 0.0000 0.0000
0.7500 0.7500 0.7500
0.2500 0.2500 0.2500
0.5000 0.5000 0.5000
```

Results
The calculation puts the size of the total moment at 0.0 μB/f.u. The value obtained for the formation energy is 0.132 eV/atom. Its mass density is 6.88 g/cm³. The calculated volume comes out at 104.4 Å³ per cell.